LaCoCu2 PBE relaxed; formation enthalpy at 0 K = 223 kJ/mol of formula units; crystal system = trigonal; uncorrected energy = -0.1646 hartree per atom; space-group type = No. 166; density = 7.80 g/cm3
1.0
-6.397 5.395 -3.109
-6.286 3.385 -5.360
-7.956 2.816 -2.909
Co Cu La
1 2 1
direct
0.750 0.750 0.750
0.484 0.484 0.484
0.016 0.016 0.016
0.250 0.250 0.250

---

LiDyPd4 PBE relaxed; formation enthalpy at 0 K = -335 kJ/mol of formula units; crystal system = monoclinic; uncorrected energy = -0.1884 hartree per atom; space-group type = No. 12; density = 9.85 g/cm3
1.0
3.987 0.000 0.000
1.993 5.991 -0.873
1.993 -1.369 4.401
Dy Li Pd
1 1 4
direct
0.500 0.500 0.500
0.000 0.000 0.000
0.167 0.162 0.504
0.347 0.313 0.993
0.833 0.838 0.496
0.653 0.687 0.007

---

SmHgPb2 PBE relaxed; formation enthalpy at 0 K = -142 kJ/mol of formula units; crystal system = tetragonal; uncorrected energy = -0.1278 hartree per atom; space-group type = No. 123; density = 11.51 g/cm3
1.0
4.668 0.000 0.000
0.000 4.865 0.000
0.000 0.000 4.865
Pb Hg Sm
2 1 1
direct
0.000 0.000 0.500
0.000 0.500 0.000
0.500 0.000 0.000
0.500 0.500 0.500

---

SrReMo2 PBE relaxed; formation enthalpy at 0 K = 355 kJ/mol of formula units; crystal system = orthorhombic; uncorrected energy = -0.2950 hartree per atom; space-group type = No. 71; density = 9.64 g/cm3
1.0
-1.004 -4.540 -3.598
2.862 -0.103 -5.135
0.058 -0.126 5.878
Mo Sr Re
2 1 1
direct
0.542 0.542 0.000
0.958 0.958 0.000
0.250 0.750 0.500
0.750 0.250 0.500

---

Pr6DyTe8 PBE relaxed; crystal system = cubic; uncorrected energy = -0.1966 hartree per atom; space-group type = No. 225; density = 6.50 g/cm3
1.0
7.810 0.000 4.509
2.603 7.363 4.509
0.000 0.000 9.018
Pr Te Dy
6 8 1
direct
0.500 0.500 0.000
0.000 0.500 0.000
0.500 0.000 0.000
0.000 0.500 0.500
0.500 0.000 0.500
0.000 0.000 0.500
0.752 0.248 0.752
0.248 0.248 0.752
0.752 0.752 0.248
0.752 0.248 0.248
0.248 0.752 0.248
0.250 0.250 0.250
0.750 0.750 0.750
0.248 0.752 0.752
0.000 0.000 0.000

---

Mg2H7Pd12 PBE relaxed; crystal system = hexagonal; uncorrected energy = -0.1638 hartree per atom; space-group type = No. 174; density = 9.09 g/cm3
1.0
-0.877 3.108 3.252
-6.384 -4.012 2.113
6.898 -1.566 3.357
H Pd Mg
7 12 2
direct
0.500 0.923 0.387
0.000 0.333 0.667
0.500 0.464 0.077
0.000 0.200 0.244
0.500 0.613 0.536
0.000 0.044 0.800
0.000 0.756 0.956
0.000 0.244 0.045
0.000 0.516 0.916
0.000 0.801 0.756
0.500 0.423 0.282
0.500 0.161 0.429
0.000 0.084 0.600
0.500 0.571 0.732
0.000 0.955 0.199
0.500 0.268 0.839
0.500 0.859 0.577
0.000 0.400 0.484
0.500 0.718 0.141
0.000 0.667 0.333
0.500 0.000 0.000

---

LaYErSc PBE relaxed; formation enthalpy at 0 K = 18 kJ/mol of formula units; crystal system = orthorhombic; uncorrected energy = -0.2030 hartree per atom; space-group type = No. 25; density = 5.85 g/cm3
1.0
-2.044 0.301 -2.967
-2.267 -5.066 1.048
-4.408 2.657 3.307
Er Y La Sc
1 1 1 1
direct
0.500 0.500 0.390
0.000 0.500 0.878
0.000 0.000 0.229
0.500 0.000 0.718

---

DyEr2Sn PBE relaxed; formation enthalpy at 0 K = -155 kJ/mol of formula units; crystal system = monoclinic; uncorrected energy = -0.1776 hartree per atom; space-group type = No. 11; density = 8.70 g/cm3
1.0
-3.391 -2.171 2.280
3.109 -2.391 2.347
-1.364 9.097 6.633
Er Sn Dy
4 2 2
direct
0.250 0.560 0.120
0.750 0.064 0.127
0.750 0.440 0.880
0.250 0.936 0.873
0.250 0.165 0.332
0.750 0.835 0.668
0.250 0.308 0.615
0.750 0.692 0.385